Density functional theory data (GGA-PBE) for a geometry-optimized TmCu3Te3 structure.

Structure (POSCAR):
```
TmCu3Te3
1.0
-5.899 1.145 -3.422
-0.541 -7.427 -1.553
-6.634 -1.783 10.838
Tm Cu Te
4 12 12
Direct
0.243 0.750 0.839 Tm
0.743 0.250 0.661 Tm
0.743 0.250 0.339 Tm
0.243 0.750 0.161 Tm
0.367 0.118 0.826 Cu
0.616 0.622 0.000 Cu
0.120 0.382 0.174 Cu
0.116 0.378 0.500 Cu
0.871 0.878 0.000 Cu
0.371 0.122 0.500 Cu
0.620 0.618 0.674 Cu
0.867 0.882 0.674 Cu
0.120 0.382 0.826 Cu
0.367 0.118 0.174 Cu
0.867 0.882 0.326 Cu
0.620 0.618 0.326 Cu
0.978 0.066 0.837 Te
0.009 0.567 0.663 Te
0.978 0.066 0.163 Te
0.990 0.051 0.500 Te
0.509 0.433 0.837 Te
0.497 0.449 0.500 Te
0.997 0.551 0.000 Te
0.478 0.934 0.663 Te
0.490 0.949 0.000 Te
0.009 0.567 0.337 Te
0.509 0.433 0.163 Te
0.478 0.934 0.337 Te
```

Summary:
Its uncorrected formation energy is -0.53 eV per atom. As for the density of states at the Fermi level: 0.14 states/eV/cell. The calculated total energy is -4.270 eV per atom. Its energy above the most stable polymorph in this dataset is 0 meV per atom. For the total moment, the calculation gives 0.0 μB per formula unit.